The following is a DFT calculation (PBE with a Hubbard U) of crystalline Ni3B7BrO13 at its relaxed geometry.

Calculated values
- VASP energy: -679.33 eV per cell
- Crystal system: orthorhombic

Unit cell a=8.6113 b=8.5979 c=12.1712 alpha=90.00 beta=90.00 gamma=90.00
Space group Pca2_1 (No. 29)
One atom of each set of equivalent atoms:
Ni: 0.0133 0.0279 0.0000
Ni: 0.0136 0.4722 0.0019
Ni: 0.2427 0.2505 0.2748
B: 0.0007 0.4981 0.7534
B: 0.0024 0.0030 0.7528
B: 0.0462 0.7501 0.1525
B: 0.0937 0.7507 0.6801
B: 0.2442 0.7538 0.0054
B: 0.2462 0.5970 0.8334
B: 0.2478 0.9040 0.8326
Br: 0.2212 0.2506 0.9897
O: 0.0327 0.1621 0.2324
O: 0.0376 0.9105 0.1490
O: 0.0408 0.3310 0.7289
O: 0.0489 0.5911 0.6580
O: 0.0873 0.5427 0.8521
O: 0.0879 0.9409 0.3476
O: 0.1185 0.6707 0.0681
O: 0.1412 0.8270 0.5783
O: 0.1659 0.4800 0.2728
O: 0.1689 0.0271 0.7731
O: 0.1719 0.8753 0.9378
O: 0.1772 0.6370 0.4365
O: 0.2322 0.7497 0.7635